DFT (SCAN) results for a crystal of GaSiHg3 relaxed with PBEsol. Values from VASP.

Cell and atoms, written as Quantum ESPRESSO input:
```
&SYSTEM
  ibrav = 0, nat = 5, ntyp = 3
/
ATOMIC_SPECIES
Hg 200.59 Hg.upf
Si 28.09 Si.upf
Ga 69.72 Ga.upf
CELL_PARAMETERS angstrom
5.0376 0.0000 0.0000
0.0000 5.0376 0.0000
0.0000 0.0000 5.0376
ATOMIC_POSITIONS angstrom
Hg 2.5188 0.0000 0.0000
Si 0.0000 0.0000 0.0000
Hg 0.0000 2.5188 0.0000
Hg 0.0000 0.0000 2.5188
Ga 2.5188 2.5188 2.5188
```

Values from the calculation:
* ΔE_f (raw): 360.8 meV per atom
* uncorrected energy: -1.684 Ha/atom